Record 1
PmAlSiBr | PBE-GGA | relaxed

a = 4.209 Å, b = 4.209 Å, c = 14.205 Å
α = 81.48°, β = 81.48°, γ = 60.00°
Positions (direct):
Pm  0.079  0.079  0.763
Pm  0.921  0.921  0.237
Al  0.689  0.689  0.932
Al  0.311  0.311  0.068
Si  0.629  0.629  0.112
Si  0.371  0.371  0.888
Br  0.789  0.789  0.634
Br  0.211  0.211  0.366

Record 2
PrAl3Br12 | PBE-GGA | relaxed

a = 11.137 Å, b = 11.137 Å, c = 19.013 Å
α = 90.00°, β = 90.00°, γ = 120.00°
Positions (direct):
Pr  0.247  0.247  0.000
Pr  0.000  0.753  0.667
Pr  0.753  0.000  0.333
Al  0.338  0.625  0.066
Al  0.662  0.287  0.267
Al  0.287  0.662  0.733
Al  0.713  0.375  0.600
Al  0.073  0.000  0.833
Al  0.000  0.073  0.167
Al  0.625  0.338  0.934
Al  0.375  0.713  0.400
Al  0.927  0.927  0.500
Br  0.452  0.382  0.883
Br  0.831  0.790  0.400
Br  0.186  0.727  0.368
Br  0.505  0.718  0.298
Br  0.197  0.662  0.138
Br  0.338  0.535  0.472
Br  0.041  0.210  0.267
Br  0.959  0.169  0.066
Br  0.282  0.787  0.632
Br  0.862  0.813  0.798
Br  0.803  0.465  0.195
Br  0.210  0.041  0.733
Br  0.951  0.138  0.465
Br  0.213  0.495  0.965
Br  0.548  0.930  0.450
Br  0.070  0.618  0.784
Br  0.618  0.070  0.216
Br  0.138  0.951  0.535
Br  0.465  0.803  0.805
Br  0.813  0.862  0.202
Br  0.049  0.187  0.868
Br  0.273  0.459  0.701
Br  0.662  0.197  0.862
Br  0.187  0.049  0.132
Br  0.535  0.338  0.528
Br  0.930  0.548  0.550
Br  0.790  0.831  0.600
Br  0.787  0.282  0.368
Br  0.541  0.814  0.034
Br  0.814  0.541  0.966
Br  0.459  0.273  0.299
Br  0.727  0.186  0.632
Br  0.382  0.452  0.117
Br  0.169  0.959  0.934
Br  0.718  0.505  0.702
Br  0.495  0.213  0.035

Record 3
PrAl2Br8 | PBE-GGA | relaxed

a = 6.877 Å, b = 8.539 Å, c = 8.539 Å
α = 72.15°, β = 82.30°, γ = 82.30°
Positions (direct):
Pr  0.000  0.000  0.000
Al  0.345  0.197  0.197
Al  0.655  0.803  0.803
Br  0.758  0.074  0.712
Br  0.242  0.288  0.926
Br  0.698  0.186  0.186
Br  0.302  0.814  0.814
Br  0.758  0.712  0.074
Br  0.242  0.926  0.288
Br  0.211  0.359  0.359
Br  0.789  0.641  0.641

Record 4
PrAlBr | PBE-GGA | relaxed

a = 4.338 Å, b = 4.338 Å, c = 11.882 Å
α = 90.21°, β = 100.31°, γ = 120.00°
Positions (direct):
Pr  0.876  0.436  0.312
Pr  0.124  0.564  0.688
Al  0.323  0.161  0.484
Al  0.677  0.839  0.516
Br  0.559  0.283  0.842
Br  0.441  0.717  0.158

Number 1: magnetization 0.000 Bohr magnetons per cell, formation energy (no corrections) -0.903 eV/atom. Number 2: magnetization 0.000 Bohr magnetons per cell, formation energy (no corrections) -1.318 eV/atom. Number 3: magnetization 1.017 Bohr magnetons per cell, formation energy (no corrections) -1.230 eV/atom. Number 4: magnetization 0.000 Bohr magnetons per cell, formation energy (no corrections) -1.123 eV/atom.